Al2InSe4 | PBE | optimized geometry

ΔE_f (raw)	-4.43	eV/f.u.
total moment	0.00	μB per cell
mass density	4.4	g/cm³
excess energy over the best structure of this formula in the dataset	0.024	eV per atom

Structure (CIF):
```
data_Al2InSe4
_chemical_formula_sum 'Al8 In4 Se16'
_cell_length_a 9.598
_cell_length_b 9.598
_cell_length_c 7.868
_cell_angle_alpha 90.00
_cell_angle_beta 90.00
_cell_angle_gamma 90.00
_space_group_name_H-M_alt 'I -4 2 d'
_space_group_IT_number 122
_space_group_name_Hall 'I -4 2bw'
loop_
_atom_site_label
_atom_site_fract_x
_atom_site_fract_y
_atom_site_fract_z
Al1 0.077 0.250 0.125
In1 0.000 0.000 0.500
Se1 0.036 0.713 0.399
```